[1]
Rb2HI7 after structural relaxation. Source: Alexandria, functional GGA-PBE.

Values from the calculation:
* space-group type: I4/mmm
* E: -2.13 eV/atom

a b c (Å): 8.560 8.560 8.560
angles (deg): 116.41 116.41 96.33
Atoms (fractional coordinates):
Rb 0.250 0.750 0.500
Rb 0.750 0.250 0.500
H 0.000 0.000 0.000
I 0.168 0.168 0.000
I 0.269 0.269 0.537
I 0.269 0.731 0.000
I 0.500 0.500 0.000
I 0.731 0.269 0.000
I 0.731 0.731 0.463
I 0.832 0.832 0.000

[2]
Pm3PrEr4 after structural relaxation. Source: Alexandria, functional GGA-PBE.

Values from the calculation:
* energy relative to the elements: 0.02 eV/atom
* ΔE to the lowest computed polymorph: 0 meV per atom
* space-group type: P2/m
* E: -4.64 eV/atom

a b c (Å): 3.609 10.014 7.214
angles (deg): 90.00 90.17 90.00
Atoms (fractional coordinates):
Pm 0.000 0.000 0.000
Pm 0.000 0.000 0.500
Pm 0.000 0.500 0.000
Pr 0.000 0.500 0.500
Er 0.500 0.249 0.249
Er 0.500 0.249 0.751
Er 0.500 0.751 0.249
Er 0.500 0.751 0.751

[3]
HfSiSbTe2 after structural relaxation. Source: Alexandria, functional GGA-PBE.

Values from the calculation:
* raw formation energy: 2.5 eV per formula unit
* ΔE to the lowest computed polymorph: 91 meV per atom
* space-group type: P4/mmm
* E: -4.66 eV/atom

a b c (Å): 5.485 5.485 5.587
angles (deg): 90.00 90.00 90.00
Atoms (fractional coordinates):
Hf 0.000 0.000 0.000
Si 0.500 0.500 0.500
Sb 0.000 0.000 0.500
Te 0.000 0.500 0.000
Te 0.500 0.000 0.000

[4]
BeRh3 after structural relaxation. Source: Alexandria, functional GGA-PBE.

Values from the calculation:
* energy relative to the elements: -0.11 eV/atom
* space-group type: I4/mmm
* E: -6.55 eV/atom

a b c (Å): 8.040 8.040 8.040
angles (deg): 153.33 153.33 38.08
Atoms (fractional coordinates):
Be 0.115 0.115 0.000
Be 0.885 0.885 0.000
Rh 0.000 0.500 0.500
Rh 0.250 0.750 0.500
Rh 0.373 0.373 0.000
Rh 0.500 0.000 0.500
Rh 0.627 0.627 0.000
Rh 0.750 0.250 0.500

Repeat the second record exactly.
Pm3PrEr4 after structural relaxation. Source: Alexandria, functional GGA-PBE.

Values from the calculation:
* energy relative to the elements: 0.02 eV/atom
* ΔE to the lowest computed polymorph: 0 meV per atom
* space-group type: P2/m
* E: -4.64 eV/atom

a b c (Å): 3.609 10.014 7.214
angles (deg): 90.00 90.17 90.00
Atoms (fractional coordinates):
Pm 0.000 0.000 0.000
Pm 0.000 0.000 0.500
Pm 0.000 0.500 0.000
Pr 0.000 0.500 0.500
Er 0.500 0.249 0.249
Er 0.500 0.249 0.751
Er 0.500 0.751 0.249
Er 0.500 0.751 0.751